# NdAl2S4 (PBE, optimized geometry)
data_NdAl2S4
_cell_length_a 6.041
_cell_length_b 10.128
_cell_length_c 10.196
_cell_angle_alpha 90.00
_cell_angle_beta 90.00
_cell_angle_gamma 90.00
_symmetry_space_group_name_H-M 'C c c m'
_symmetry_Int_Tables_number 66
_symmetry_space_group_name_Hall '-C 2 2c'
loop_
_atom_site_label
_atom_site_type_symbol
_atom_site_fract_x
_atom_site_fract_y
_atom_site_fract_z
Nd1 Nd 0.000 0.000 0.250
Al1 Al 0.002 0.266 0.000
S1 S 0.227 0.082 0.500
S2 S 0.250 0.250 0.169
# Calculated total energy = -149.65 eV for the cell shown
# N(E_F) = 10.258 states/eV/cell
# Energy above the lowest structure with this stoichiometry = 0.00 eV/f.u.
# Formation energy without anion corrections = -8.6 eV/f.u.

# NdAlS3 (PBE, optimized geometry)
data_NdAlS3
_cell_length_a 12.966
_cell_length_b 11.186
_cell_length_c 7.001
_cell_angle_alpha 90.00
_cell_angle_beta 106.26
_cell_angle_gamma 90.00
_symmetry_space_group_name_H-M 'C 1 2/c 1'
_symmetry_Int_Tables_number 15
loop_
_symmetry_equiv_pos_as_xyz
'x,y,z'
'-x,-y,-z'
'-x,y,-z+1/2'
'x,-y,z+1/2'
'x+1/2,y+1/2,z'
'-x+1/2,-y+1/2,-z'
'-x+1/2,y+1/2,-z+1/2'
'x+1/2,-y+1/2,z+1/2'
loop_
_atom_site_label
_atom_site_type_symbol
_atom_site_fract_x
_atom_site_fract_y
_atom_site_fract_z
Nd1 Nd 0.000 0.099 0.250
Nd2 Nd 0.000 0.327 0.750
Al1 Al 0.206 0.407 0.247
S1 S 0.114 0.108 0.655
S2 S 0.129 0.459 0.496
S3 S 0.138 0.236 0.110
# Calculated total energy = -229.25 eV for the cell shown
# N(E_F) = 0.000 states/eV/cell
# Energy above the lowest structure with this stoichiometry = 0.00 eV/f.u.
# Formation energy without anion corrections = -7.8 eV/f.u.

# NdAlS3 (PBE, optimized geometry)
data_NdAlS3
_cell_length_a 7.108
_cell_length_b 7.034
_cell_length_c 11.214
_cell_angle_alpha 90.00
_cell_angle_beta 123.09
_cell_angle_gamma 90.00
_symmetry_space_group_name_H-M 'P 1 21/c 1'
_symmetry_Int_Tables_number 14
loop_
_symmetry_equiv_pos_as_xyz
'x,y,z'
'-x,-y,-z'
'-x,y+1/2,-z+1/2'
'x,-y+1/2,z+1/2'
loop_
_atom_site_label
_atom_site_type_symbol
_atom_site_fract_x
_atom_site_fract_y
_atom_site_fract_z
Nd1 Nd 0.153 0.138 0.230
Al1 Al 0.281 0.693 0.126
S1 S 0.054 0.203 0.930
S2 S 0.261 0.674 0.922
S3 S 0.461 0.048 0.785
# Calculated total energy = -112.91 eV for the cell shown
# N(E_F) = 0.000 states/eV/cell
# Energy above the lowest structure with this stoichiometry = 0.43 eV/f.u.
# Formation energy without anion corrections = -7.3 eV/f.u.

# Nd5AlS4 (PBE, optimized geometry)
data_Nd5AlS4
_cell_length_a 9.271
_cell_length_b 9.271
_cell_length_c 5.830
_cell_angle_alpha 90.00
_cell_angle_beta 90.00
_cell_angle_gamma 90.00
_symmetry_space_group_name_H-M 'I 4/m'
_symmetry_Int_Tables_number 87
_symmetry_space_group_name_Hall '-I 4'
loop_
_atom_site_label
_atom_site_type_symbol
_atom_site_fract_x
_atom_site_fract_y
_atom_site_fract_z
Nd1 Nd 0.000 0.000 0.000
Nd2 Nd 0.102 0.693 0.500
Al1 Al 0.000 0.000 0.500
S1 S 0.102 0.699 0.000
# Calculated total energy = -121.39 eV for the cell shown
# N(E_F) = 8.059 states/eV/cell
# Formation energy without anion corrections = -16.6 eV/f.u.

# SrNdAlS4 (PBE, optimized geometry)
data_SrNdAlS4
_cell_length_a 6.632
_cell_length_b 6.680
_cell_length_c 8.149
_cell_angle_alpha 90.00
_cell_angle_beta 107.31
_cell_angle_gamma 90.00
_symmetry_space_group_name_H-M 'P 1 21/m 1'
_symmetry_Int_Tables_number 11
loop_
_symmetry_equiv_pos_as_xyz
'x,y,z'
'-x,-y,-z'
'-x,y+1/2,-z'
'x,-y+1/2,z'
loop_
_atom_site_label
_atom_site_type_symbol
_atom_site_fract_x
_atom_site_fract_y
_atom_site_fract_z
Sr1 Sr 0.240 0.250 0.435
Nd1 Nd 0.280 0.250 0.947
Al1 Al 0.262 0.750 0.187
S1 S 0.064 0.750 0.365
S2 S 0.067 0.750 0.912
S3 S 0.497 0.003 0.239
# Calculated total energy = -77.89 eV for the cell shown
# N(E_F) = 0.000 states/eV/cell
# Formation energy without anion corrections = -12.2 eV/f.u.

# NdAlTl2S4 (PBE, optimized geometry)
data_NdAlTl2S4
_cell_length_a 7.872
_cell_length_b 8.613
_cell_length_c 11.675
_cell_angle_alpha 90.00
_cell_angle_beta 90.00
_cell_angle_gamma 90.00
_symmetry_space_group_name_H-M 'I m m a'
_symmetry_Int_Tables_number 74
_symmetry_space_group_name_Hall '-I 2b 2'
loop_
_atom_site_label
_atom_site_type_symbol
_atom_site_fract_x
_atom_site_fract_y
_atom_site_fract_z
Nd1 Nd 0.000 0.000 0.000
Al1 Al 0.250 0.250 0.250
Tl1 Tl 0.000 0.000 0.500
Tl2 Tl 0.250 0.250 0.750
S1 S 0.000 0.058 0.243
S2 S 0.231 0.250 0.033
# Calculated total energy = -149.87 eV for the cell shown
# N(E_F) = 1.579 states/eV/cell
# Formation energy without anion corrections = -7.7 eV/f.u.

# Nd2AlSb4 (PBE, optimized geometry)
data_Nd2AlSb4
_cell_length_a 4.369
_cell_length_b 4.369
_cell_length_c 10.569
_cell_angle_alpha 90.00
_cell_angle_beta 90.00
_cell_angle_gamma 90.00
_symmetry_space_group_name_H-M 'P -4 m 2'
_symmetry_Int_Tables_number 115
loop_
_symmetry_equiv_pos_as_xyz
'x,y,z'
'y,-x,-z'
'-x,-y,z'
'-y,x,-z'
'-x,y,z'
'-y,-x,-z'
'x,-y,z'
'y,x,-z'
loop_
_atom_site_label
_atom_site_type_symbol
_atom_site_fract_x
_atom_site_fract_y
_atom_site_fract_z
Nd1 Nd 0.000 0.500 0.234
Al1 Al 0.000 0.000 0.500
Sb1 Sb 0.000 0.000 0.000
Sb2 Sb 0.000 0.500 0.656
Sb3 Sb 0.500 0.500 0.000
# Calculated total energy = -34.64 eV for the cell shown
# N(E_F) = 1.917 states/eV/cell
# Formation energy without anion corrections = -4.9 eV/f.u.

# Nd8Al2Sb (PBE, optimized geometry)
data_Nd8Al2Sb
_cell_length_a 19.683
_cell_length_b 5.108
_cell_length_c 7.184
_cell_angle_alpha 90.00
_cell_angle_beta 104.65
_cell_angle_gamma 90.00
_symmetry_space_group_name_H-M 'C 1 2/m 1'
_symmetry_Int_Tables_number 12
loop_
_symmetry_equiv_pos_as_xyz
'x,y,z'
'-x,-y,-z'
'-x,y,-z'
'x,-y,z'
'x+1/2,y+1/2,z'
'-x+1/2,-y+1/2,-z'
'-x+1/2,y+1/2,-z'
'x+1/2,-y+1/2,z'
loop_
_atom_site_label
_atom_site_type_symbol
_atom_site_fract_x
_atom_site_fract_y
_atom_site_fract_z
Nd1 Nd 0.028 0.000 0.262
Nd2 Nd 0.099 0.500 0.963
Nd3 Nd 0.162 0.500 0.472
Nd4 Nd 0.211 0.000 0.809
Al1 Al 0.186 0.000 0.234
Sb1 Sb 0.000 0.500 0.500
# Calculated total energy = -105.65 eV for the cell shown
# N(E_F) = 24.675 states/eV/cell
# Formation energy without anion corrections = -3.1 eV/f.u.